No. 1
The following is a DFT calculation (PBE-GGA) of a relaxed TbHo2Sc3As6 crystal.

- Mass density: 6.57 g/cm³
- E: -6.499 eV per atom

Lattice parameters (Å, degrees): 6.9331 12.0081 6.9103 90.00 109.51 90.00
Space group C2/m (No. 12)
Symmetry-distinct sites (fractional):
Tb  0.0000  0.0000  0.0000 x2
Ho  0.0000  0.3332  0.0000 x4
Sc  0.0000  0.1663  0.5000 x4
Sc  0.0000  0.5000  0.5000 x2
As  0.2444  0.3326  0.7353 x8
As  0.2466  0.0000  0.7355 x4

No. 2
The following is a DFT calculation (PBE-GGA) of a relaxed AcZrSn2O8 crystal.

- Mass density: 6.11 g/cm³
- ΔE_f (raw): -2.09 eV per atom
- E: -7.115 eV per atom

Lattice parameters (Å, degrees): 7.2396 7.2396 7.0934 90.00 90.00 90.00
Space group I-4m2 (No. 119)
Symmetry-distinct sites (fractional):
Ac  0.0000  0.0000  0.0000 x2
Zr  0.0000  0.5000  0.7500 x2
Sn  0.0000  0.0000  0.5000 x2
Sn  0.0000  0.5000  0.2500 x2
O  0.0000  0.2038  0.6876 x8
O  0.0000  0.3293  0.0350 x8

No. 3
The following is a DFT calculation (PBE-GGA) of a relaxed PdC crystal.

- Mass density: 6.57 g/cm³
- Polymorph energy (0 for the lowest one): 586 meV/atom
- E: -5.802 eV per atom

Lattice parameters (Å, degrees): 8.8982 3.1626 6.3801 90.00 90.00 90.00
Space group Pmn2_1 (No. 31)
Symmetry-distinct sites (fractional):
Pd  0.0000  0.0035  0.0000 x2
Pd  0.2170  0.6336  0.6991 x4
C  0.0000  0.5124  0.7878 x2
C  0.2286  0.8615  0.0231 x4

No. 4
The following is a DFT calculation (PBE-GGA) of a relaxed Ag2SeO crystal.

- Mass density: 6.22 g/cm³
- ΔE_f (raw): 0.15 eV per atom
- Polymorph energy (0 for the lowest one): 0 meV/atom
- E: -3.390 eV per atom

Lattice parameters (Å, degrees): 5.4509 5.4509 11.1624 90.00 90.00 90.00
Space group I-42d (No. 122)
Symmetry-distinct sites (fractional):
Ag  0.1876  0.2500  0.1250 x8
Se  0.0000  0.0000  0.5000 x4
O  0.0000  0.0000  0.0000 x4